Here is a relaxed structure of Zn3Re from Alexandria via LeMat-Bulk. Energies are from GGA-PBEsol.

Structure (POSCAR):
```
Zn3Re
1.0
0.000 3.017 3.017
3.017 0.000 3.017
3.017 3.017 0.000
Zn Re
3 1
Cartesian
0.000 0.000 0.000
1.509 1.509 1.509
4.526 4.526 4.526
3.017 3.017 3.017
```

volume = 13.74 Å³/atom
raw total energy = -4.09 eV/atom
energy relative to the elements = 1.7 eV per formula unit
space-group type = Fm-3m, No. 225